Record 1
First-principles (PBE) data for GaSbIr3 after structural relaxation, as listed in the Alexandria database.

```
data_GaSbIr3
_cell_length_a 4.605
_cell_length_b 4.605
_cell_length_c 4.605
_cell_angle_alpha 90.00
_cell_angle_beta 90.00
_cell_angle_gamma 90.00
_symmetry_space_group_name_H-M 'P m -3 m'
_symmetry_Int_Tables_number 221
_symmetry_space_group_name_Hall '-P 4 2 3'
loop_
_atom_site_label
_atom_site_fract_x
_atom_site_fract_y
_atom_site_fract_z
Ga1 0.000 0.000 0.000
Sb1 0.500 0.500 0.500
Ir1 0.000 0.000 0.500
```

Computed properties:
Distance to the lowest polymorph of the same formula in kcal/mol of atoms: 0.000
Total moment in μB/f.u.: 0.0
Mass density in g/cm3: 13.1


Record 2
First-principles (PBE) data for GaSbIr3 after structural relaxation, as listed in the Alexandria database.

```
data_GaSbIr3
_cell_length_a 4.884
_cell_length_b 4.884
_cell_length_c 4.884
_cell_angle_alpha 90.00
_cell_angle_beta 90.00
_cell_angle_gamma 90.00
_symmetry_space_group_name_H-M 'P m -3 m'
_symmetry_Int_Tables_number 221
_symmetry_space_group_name_Hall '-P 4 2 3'
loop_
_atom_site_label
_atom_site_fract_x
_atom_site_fract_y
_atom_site_fract_z
Ga1 0.000 0.000 0.000
Sb1 0.500 0.500 0.500
Ir1 0.000 0.500 0.500
```

Computed properties:
Distance to the lowest polymorph of the same formula in kcal/mol of atoms: 12.982
Total moment in μB/f.u.: 0.0
Mass density in g/cm3: 11.0


Record 3
First-principles (PBE) data for Ga2SbIr2 after structural relaxation, as listed in the Alexandria database.

```
data_Ga2SbIr2
_cell_length_a 7.542
_cell_length_b 7.542
_cell_length_c 2.933
_cell_angle_alpha 90.00
_cell_angle_beta 90.00
_cell_angle_gamma 90.00
_symmetry_space_group_name_H-M 'P 4/m b m'
_symmetry_Int_Tables_number 127
_symmetry_space_group_name_Hall '-P 4 2ab'
loop_
_atom_site_label
_atom_site_fract_x
_atom_site_fract_y
_atom_site_fract_z
Ga1 0.136 0.364 0.000
Sb1 0.000 0.000 0.500
Ir1 0.159 0.659 0.500
```

Computed properties:
Distance to the lowest polymorph of the same formula in kcal/mol of atoms: 0.000
Total moment in μB/f.u.: 0.0
Mass density in g/cm3: 12.9


| no. | calculated volume (Å³/f.u.) |
| --- | --- |
| 1 | 98 |
| 2 | 116 |
| 3 | 83 |